The following is a DFT calculation (PBE-GGA) of a relaxed TaCdP crystal.

Lattice parameters (Å, degrees): 3.250 15.040 4.431 90.00 90.00 90.00
Fractional coordinates of all 12 atoms:
Ta 0.500 0.564 0.292
Ta 0.000 0.064 0.292
Ta 0.000 0.936 0.792
Ta 0.500 0.436 0.792
Cd 0.500 0.772 0.046
Cd 0.000 0.728 0.546
Cd 0.500 0.228 0.546
Cd 0.000 0.272 0.046
P 0.000 0.437 0.310
P 0.500 0.937 0.310
P 0.500 0.063 0.810
P 0.000 0.563 0.810

Results
**Energy above the most stable polymorph in this dataset**: 145 meV per atom
**ΔH_f (0 K)**: -222 meV/atom